one | DFT (PBE) results for La3DyS6 after structural relaxation.

Values from the calculation:
Space group   R-3 (148)
Density of states at the Fermi level   0.000 states/eV/atom

Cell lengths 8.3547, 8.3547, 8.3547 Å; angles 91.67, 91.67, 91.67 degrees
With the nearest neighbours (Å) after each atom.
Fractional coordinates of all 20 atoms:
La 0.4324 0.9247 0.7495  6 S 2.86-2.93
La 0.9247 0.7495 0.4324  6 S 2.86-2.93
La 0.2505 0.5676 0.0753  6 S 2.86-2.93
La 0.7495 0.4324 0.9247  6 S 2.86-2.93
La 0.0753 0.2505 0.5676  6 S 2.86-2.93
La 0.5676 0.0753 0.2505  6 S 2.86-2.93
Dy 0.0000 0.0000 0.0000  6 S 2.75
Dy 0.5000 0.5000 0.5000  6 S 2.71
S 0.3087 0.9142 0.0737  1 Dy 2.75, 3 La 2.86-2.93
S 0.0858 0.9263 0.6913  1 Dy 2.75, 3 La 2.86-2.93
S 0.5896 0.8106 0.4606  1 Dy 2.71, 3 La 2.87-2.93
S 0.9263 0.6913 0.0858  1 Dy 2.75, 3 La 2.86-2.93
S 0.4606 0.5896 0.8106  1 Dy 2.71, 3 La 2.87-2.93
S 0.1894 0.5394 0.4104  1 Dy 2.71, 3 La 2.87-2.93
S 0.8106 0.4606 0.5896  1 Dy 2.71, 3 La 2.87-2.93
S 0.5394 0.4104 0.1894  1 Dy 2.71, 3 La 2.87-2.93
S 0.0737 0.3087 0.9142  1 Dy 2.75, 3 La 2.86-2.93
S 0.4104 0.1894 0.5394  1 Dy 2.71, 3 La 2.87-2.93
S 0.9142 0.0737 0.3087  1 Dy 2.75, 3 La 2.86-2.93
S 0.6913 0.0858 0.9263  1 Dy 2.75, 3 La 2.86-2.93

two | DFT (PBE) results for La3DyS6 after structural relaxation.

Values from the calculation:
Space group   P2_1/m (11)

Cell lengths 4.1489, 11.3417, 11.7773 Å; angles 107.06, 90.00, 90.00 degrees
With the nearest neighbours (Å) after each atom.
Fractional coordinates of all 20 atoms:
La 0.7500 0.4199 0.8297  6 S 2.81-2.94
La 0.2500 0.5801 0.1703  6 S 2.81-2.94
La 0.7500 0.6848 0.5091  7 S 2.82-3.12
La 0.2500 0.3152 0.4909  7 S 2.82-3.12
La 0.7500 0.1615 0.0827  6 S 2.83-2.92
La 0.2500 0.8385 0.9173  6 S 2.83-2.92
Dy 0.7500 0.0410 0.6790  6 S 2.83-3.01
Dy 0.2500 0.9590 0.3210  6 S 2.83-3.01
S 0.7500 0.4735 0.6114  4 La 2.81-2.98
S 0.2500 0.5265 0.3886  4 La 2.81-2.98
S 0.7500 0.9136 0.0984  3 La 2.87-2.92, 1 S 3.20
S 0.2500 0.0864 0.9016  3 La 2.87-2.92, 1 S 3.20
S 0.7500 0.4096 0.0722  4 La 2.84-2.89
S 0.2500 0.5904 0.9278  4 La 2.84-2.89
S 0.7500 0.7590 0.2863  3 La 2.94-2.98, 2 Dy 3.01, 1 S 3.20
S 0.2500 0.2410 0.7137  3 La 2.94-2.98, 2 Dy 3.01, 1 S 3.20
S 0.7500 0.1023 0.4584  3 Dy 2.83-2.88, 2 La 3.12
S 0.2500 0.8977 0.5416  3 Dy 2.83-2.88, 2 La 3.12
S 0.7500 0.8235 0.7505  3 La 2.82-2.83, 1 Dy 2.83
S 0.2500 0.1765 0.2495  3 La 2.82-2.83, 1 Dy 2.83

What is the most stable structure shown above? It is one.